A plane-wave DFT calculation with PBE-GGA was carried out for GeAuN2F after structural relaxation.

Computed properties:
* energy relative to the elements, uncorrected: 0.6617 eV per atom
* total energy: -4.622 eV/atom
* polymorph energy (0 for the lowest one): 0.0 kJ/mol of atoms

Cell: 3.8899 3.8899 3.8091 Å, 90.00 90.00 90.00°
Fractional positions:
Ge1 0.0000 0.0000 0.0000
Au1 0.5000 0.5000 0.5000
N1 0.0000 0.5000 0.0000
N2 0.5000 0.0000 0.0000
F1 0.0000 0.0000 0.5000